DFT (PBE) results for crystalline Sc3Zn4Ag4 at its relaxed geometry.

Cell: 3.125 4.568 14.299 Å, 99.16 96.26 90.03°
Sites, in units of the cell vectors:
Sc: 0.000 0.000 0.000
Sc: 0.138 0.636 0.275
Sc: 0.862 0.364 0.725
Zn: 0.316 0.816 0.632
Zn: 0.455 0.456 0.911
Zn: 0.545 0.544 0.089
Zn: 0.684 0.184 0.368
Ag: 0.267 0.268 0.535
Ag: 0.408 0.909 0.818
Ag: 0.592 0.091 0.182
Ag: 0.733 0.732 0.465

## Properties
Calculated formation energy: -228.5 meV per atom
Total energy: -3.455 eV/atom